This record from the Alexandria database describes crystalline MgCu2Pd2 at its relaxed geometry. The functional is PBE.

Summary:
As for the energy of formation: -0.030 eV per atom. Its volume is 16.53 Å³ per atom. The calculation puts the density of states at the Fermi level at 2.9 states/eV per cell. For the total magnetization, the calculation gives 0.00 Bohr magnetons per cell. The energy relative to the lowest polymorph listed for this composition comes out at 0.285 eV per atom.

abc: 3.892 3.892 6.112
angles: 71.43 71.43 90.00
Fractional coordinates of all 5 atoms:
Pd: 0.750 0.250 0.500
Mg: 0.000 0.000 0.000
Cu: 0.603 0.603 0.794
Pd: 0.250 0.750 0.500
Cu: 0.397 0.397 0.206